Record 1
Here is a geometry-optimized CsLiVO3 structure from Alexandria. Energies are from PBE with a Hubbard U.

Calculated values
The total energy comes out at -6.18 eV per atom.

abc: 5.541 13.768 5.474
angles: 90.00 90.00 90.00
Space group Cmcm (No. 63)
One atom of each set of equivalent atoms:
Cs 0.000 0.247 0.250 x4
Li 0.000 0.488 0.750 x4
V 0.000 0.045 0.750 x4
O 0.000 0.170 0.750 x4
O 0.230 0.000 0.000 x8


Record 2
Here is a geometry-optimized CsLiVO4 structure from Alexandria. Energies are from PBE with a Hubbard U.

Calculated values
The total energy comes out at -6.02 eV per atom.

abc: 5.999 5.999 8.529
angles: 90.00 90.00 90.00
Space group I-4 (No. 82)
One atom of each set of equivalent atoms:
Cs 0.000 0.000 0.000 x2
Li 0.000 0.000 0.500 x2
V 0.000 0.500 0.750 x2
O 0.034 0.266 0.632 x8


Record 3
Here is a geometry-optimized CsLi2VO4 structure from Alexandria. Energies are from PBE with a Hubbard U.

Calculated values
The total energy comes out at -5.93 eV per atom.

abc: 5.622 5.622 7.722
angles: 90.00 90.00 90.00
Space group I-42m (No. 121)
One atom of each set of equivalent atoms:
Cs 0.000 0.000 0.000 x2
Li 0.000 0.500 0.250 x4
V 0.000 0.000 0.500 x2
O 0.174 0.174 0.361 x8


Record 4
Here is a geometry-optimized Cs2LiW2O7 structure from Alexandria. Energies are from PBE with a Hubbard U.

Calculated values
The total energy comes out at -6.31 eV per atom.

abc: 3.992 3.992 24.452
angles: 90.00 90.00 90.00
Space group I4/mmm (No. 139)
One atom of each set of equivalent atoms:
Cs 0.000 0.000 0.185 x4
Li 0.000 0.000 0.000 x2
W 0.000 0.000 0.419 x4
O 0.000 0.000 0.342 x4
O 0.000 0.000 0.500 x2
O 0.000 0.500 0.077 x8


Record 5
Here is a geometry-optimized Cs2LiWO4 structure from Alexandria. Energies are from PBE with a Hubbard U.

Calculated values
The total energy comes out at -5.62 eV per atom.

abc: 5.373 12.358 23.115
angles: 90.00 90.00 90.00
Space group Fddd (No. 70, origin choice 2)
One atom of each set of equivalent atoms:
Cs 0.125 0.125 0.294 x16
Li 0.125 0.125 0.625 x8
W 0.125 0.125 0.125 x8
O 0.106 0.309 0.425 x32